An optimized crystal structure of Na3MgMo3O8, computed with GGA+U.

Cell: 6.390 6.338 6.611 Å, 118.78 90.00 120.27°
Site moments in Bohr magnetons follow the coordinates.
Sites, in units of the cell vectors:
O (0.732, 0.950, 0.690)  0.01
O (0.268, 0.050, 0.310)  0.01
O (0.260, 0.519, 0.287)  0.06
O (0.239, 0.478, 0.694)  0.01
O (0.782, 0.050, 0.310)  0.01
O (0.218, 0.950, 0.690)  0.01
O (0.740, 0.481, 0.713)  0.06
O (0.761, 0.522, 0.306)  0.01
Mo (0.000, 0.500, 0.500)  1.91
Mo (0.500, 0.500, 0.500)  1.91
Mo (0.500, 0.000, 0.500)  2.73
Na (0.000, 0.500, 0.000)  0.00
Na (0.000, 0.000, 0.000)  0.00
Na (0.500, 0.500, 0.000)  0.00
Mg (0.000, 0.000, 0.500)  0.00

Values from the calculation:
Space group = C2/m, No. 12
Raw total energy = -93.868 eV per cell